No. 1
Entry from Alexandria: a relaxed structure of CsSbH2 (PBE).

Properties
Total DFT energy (no corrections), eV per cell: -12.19
E above lowest polymorph, meV per atom: 7.0
Magnetization, Bohr magnetons per cell: 0.00
Calculated volume, Å³ per cell: 111.0

a = 4.5649 Å, b = 4.5677 Å, c = 5.3332 Å
α = 89.86°, β = 89.74°, γ = 86.28°
Sites, in units of the cell vectors:
H 0.3764 0.2200 0.1331
H 0.7504 0.5894 0.1386
Sb 0.7626 0.2045 0.1046
Cs 0.2513 0.7149 0.6043

=====

No. 2
Entry from Alexandria: a relaxed structure of FeCo2Ag (PBE).

Properties
Total DFT energy (no corrections), eV per cell: -24.11
E above lowest polymorph, meV per atom: 139.1
DFT formation energy, eV per atom: 0.35
Magnetization, Bohr magnetons per cell: 5.80
Calculated volume, Å³ per cell: 51.7

a = 4.1816 Å, b = 4.1816 Å, c = 4.1816 Å
α = 60.00°, β = 60.00°, γ = 60.00°
Last column: magnetic moment on the atom in μB.
Sites, in units of the cell vectors:
Co 0.2500 0.2500 0.2500  1.60
Co 0.7500 0.7500 0.7500  1.60
Ag 0.5000 0.5000 0.5000  0.00
Fe 0.0000 0.0000 0.0000  2.77

=====

No. 3
Entry from Alexandria: a relaxed structure of Sr2HgTeO6 (PBE).

Properties
Total DFT energy (no corrections), eV per cell: -53.90
ΔE_f (raw), eV per atom: -1.734
Magnetization, Bohr magnetons per cell: 0.00
Calculated volume, Å³ per cell: 148.8

a = 6.0519 Å, b = 6.0501 Å, c = 5.8530 Å
α = 58.83°, β = 58.80°, γ = 60.00°
Sites, in units of the cell vectors:
Sr 0.5585 0.5583 0.3253
Sr 0.0739 0.0741 0.7777
O 0.5228 0.1820 0.2932
O 0.6301 0.1095 0.8092
O 0.4509 0.6305 0.8080
O 0.1095 0.4504 0.8099
O 0.0022 0.5228 0.2939
O 0.1815 0.0018 0.2951
Hg 0.8162 0.8162 0.5515
Te 0.3162 0.3162 0.0515

=====

No. 4
Entry from Alexandria: a relaxed structure of SiSb2Br (PBE).

Properties
Total DFT energy (no corrections), eV per cell: -14.56
E above lowest polymorph, meV per atom: 96.5
ΔE_f (raw), eV per atom: 0.194
Magnetization, Bohr magnetons per cell: 0.00
Calculated volume, Å³ per cell: 114.2

a = 4.9401 Å, b = 4.3185 Å, c = 5.7048 Å
α = 69.82°, β = 90.00°, γ = 90.00°
Sites, in units of the cell vectors:
Sb 0.0000 0.0545 0.0593
Sb 0.5000 0.2547 0.2858
Br 0.5000 0.7451 0.7468
Si 0.0000 0.4457 0.4081

=====

No. 5
Entry from Alexandria: a relaxed structure of KSrCaIn (PBE).

Properties
Total DFT energy (no corrections), eV per cell: -7.99
DFT formation energy, eV per atom: -0.12
Magnetization, Bohr magnetons per cell: 0.00
Calculated volume, Å³ per cell: 147.0

a = 5.9233 Å, b = 5.9233 Å, c = 5.9233 Å
α = 60.00°, β = 60.00°, γ = 60.00°
Sites, in units of the cell vectors:
In 0.0000 0.0000 0.0000
Sr 0.7500 0.7500 0.7500
Ca 0.2500 0.2500 0.2500
K 0.5000 0.5000 0.5000

=====

No. 6
Entry from Alexandria: a relaxed structure of LiPu2Cu3Ge4 (PBE).

Properties
Total DFT energy (no corrections), eV per cell: -64.38
DFT formation energy, eV per atom: -0.30
Magnetization, Bohr magnetons per cell: 10.40
Calculated volume, Å³ per cell: 176.0

a = 4.1643 Å, b = 4.1643 Å, c = 10.1507 Å
α = 90.00°, β = 90.00°, γ = 90.00°
Last column: magnetic moment on the atom in μB.
Sites, in units of the cell vectors:
Cu 0.5000 0.0000 0.8710  0.01
Cu 0.0000 0.5000 0.1290  0.01
Cu 0.0000 0.0000 0.5000  -0.03
Ge 0.0000 0.0000 0.0000  -0.02
Ge 0.5000 0.5000 0.0000  -0.02
Ge 0.0000 0.5000 0.3624  -0.07
Ge 0.5000 0.0000 0.6376  -0.07
Pu 0.0000 0.5000 0.7509  5.16
Pu 0.5000 0.0000 0.2491  5.16
Li 0.5000 0.5000 0.5000  -0.02

=====

No. 7
Entry from Alexandria: a relaxed structure of BeNiOs2 (PBE).

Properties
Total DFT energy (no corrections), eV per cell: -31.44
DFT formation energy, eV per atom: 0.13
Magnetization, Bohr magnetons per cell: 0.59
Calculated volume, Å³ per cell: 49.7

a = 8.2589 Å, b = 8.2589 Å, c = 8.2589 Å
α = 18.53°, β = 18.53°, γ = 18.53°
Last column: magnetic moment on the atom in μB.
Sites, in units of the cell vectors:
Os 0.5032 0.5032 0.5032  0.09
Os 0.9968 0.9968 0.9968  0.09
Ni 0.7500 0.7500 0.7500  0.43
Be 0.2500 0.2500 0.2500  0.00

=====

No. 8
Entry from Alexandria: a relaxed structure of CeZnAg3 (PBE).

Properties
Total DFT energy (no corrections), eV per cell: -31.81
E above lowest polymorph, meV per atom: 97.8
DFT formation energy, eV per atom: -0.03
Magnetization, Bohr magnetons per cell: 2.45
Calculated volume, Å³ per cell: 213.0

a = 4.7215 Å, b = 5.6782 Å, c = 8.2904 Å
α = 90.00°, β = 106.60°, γ = 90.00°
Last column: magnetic moment on the atom in μB.
Sites, in units of the cell vectors:
Ag 0.8000 0.5023 0.1000  0.01
Ag 0.8000 0.9977 0.1000  0.01
Ag 0.2000 0.0023 0.9000  0.01
Ag 0.3587 0.2500 0.2200  0.01
Ag 0.2000 0.4977 0.9000  0.01
Ag 0.6413 0.7500 0.7800  0.01
Zn 0.9468 0.2500 0.3978  0.01
Zn 0.0532 0.7500 0.6022  0.01
Ce 0.4233 0.7500 0.3426  0.95
Ce 0.5767 0.2500 0.6574  0.95

=====

No. 9
Entry from Alexandria: a relaxed structure of BeNi2Rh (PBE).

Properties
Total DFT energy (no corrections), eV per cell: -23.09
DFT formation energy, eV per atom: -0.11
Magnetization, Bohr magnetons per cell: 0.00
Calculated volume, Å³ per cell: 45.2

a = 4.3382 Å, b = 4.3382 Å, c = 2.5825 Å
α = 90.00°, β = 90.00°, γ = 111.68°
Sites, in units of the cell vectors:
Ni 0.0000 0.0000 0.0000
Ni 0.5000 0.5000 0.0000
Rh 0.5000 0.0000 0.5000
Be 0.0000 0.5000 0.5000

=====

No. 10
Entry from Alexandria: a relaxed structure of Ta2ZnB2 (PBE).

Properties
Total DFT energy (no corrections), eV per cell: -37.80
E above lowest polymorph, meV per atom: 496.4
DFT formation energy, eV per atom: 0.11
Magnetization, Bohr magnetons per cell: 0.00
Calculated volume, Å³ per cell: 64.1

a = 2.8583 Å, b = 2.8583 Å, c = 8.1000 Å
α = 79.84°, β = 79.84°, γ = 90.00°
Sites, in units of the cell vectors:
Zn 0.0000 0.0000 0.0000
Ta 0.3727 0.3727 0.2545
Ta 0.6273 0.6273 0.7455
B 0.2500 0.7500 0.5000
B 0.7500 0.2500 0.5000

=====

No. 11
Entry from Alexandria: a relaxed structure of KAgMo4 (PBE).

Properties
Total DFT energy (no corrections), eV per cell: -40.75
DFT formation energy, eV per atom: 1.09
Magnetization, Bohr magnetons per cell: 0.00
Calculated volume, Å³ per cell: 113.8

a = 5.4397 Å, b = 5.4397 Å, c = 5.4397 Å
α = 60.00°, β = 60.00°, γ = 60.00°
Sites, in units of the cell vectors:
Mo 0.3735 0.3735 0.8796
Mo 0.8796 0.3735 0.3735
Mo 0.3735 0.3735 0.3735
Mo 0.3735 0.8796 0.3735
Ag 0.7500 0.7500 0.7500
K 0.0000 0.0000 0.0000

=====

No. 12
Entry from Alexandria: a relaxed structure of NaMn4Ru2 (PBE).

Properties
Total DFT energy (no corrections), eV per cell: -46.85
DFT formation energy, eV per atom: 1.38
Magnetization, Bohr magnetons per cell: 15.35
Calculated volume, Å³ per cell: 132.9

a = 4.5965 Å, b = 4.5965 Å, c = 7.0793 Å
α = 71.06°, β = 71.06°, γ = 90.00°
Last column: magnetic moment on the atom in μB.
Sites, in units of the cell vectors:
Ru 0.3986 0.3986 0.2028  -0.34
Ru 0.6014 0.6014 0.7972  -0.34
Mn 0.0000 0.5000 0.0000  3.64
Mn 0.7917 0.7917 0.4167  3.91
Mn 0.5000 0.0000 0.0000  3.64
Mn 0.2083 0.2083 0.5833  3.91
Na 0.0000 0.0000 0.0000  0.02